# 1
Material: Rb2NbSeCl5
Method: DFT, GGA-PBE
State: relaxed

abc: 7.3105 7.3105 10.6007
angles: 90.00 90.00 90.00
Space group I4mm (No. 107)
Inequivalent atoms, fractional coordinates:
Rb  0.0000  0.5000  0.0000 [4 per cell]
Nb  0.0000  0.0000  0.2290 [2 per cell]
Se  0.0000  0.0000  0.0067 [2 per cell]
Cl  0.0000  0.0000  0.4760 [2 per cell]
Cl  0.2342  0.2342  0.2527 [8 per cell]

Summary:
ΔE_f (raw) ... -1.503 eV/atom
Calculated total energy ... -38.2 eV/f.u.

***

# 2
Material: Rb2SrNbCl6
Method: DFT, GGA-PBE
State: relaxed

abc: 10.8324 10.8324 10.8324
angles: 90.00 90.00 90.00
Space group Fm-3m (No. 225)
Inequivalent atoms, fractional coordinates:
Rb  0.2500  0.2500  0.2500 [8 per cell]
Sr  0.0000  0.0000  0.0000 [4 per cell]
Nb  0.0000  0.0000  0.5000 [4 per cell]
Cl  0.0000  0.0000  0.2618 [24 per cell]

Summary:
ΔE_f (raw) ... -1.728 eV/atom
Calculated total energy ... -42.0 eV/f.u.

***

# 3
Material: Rb2NbTeCl
Method: DFT, GGA-PBE
State: relaxed

abc: 7.0786 7.0786 5.5105
angles: 90.00 90.00 90.00
Space group P4/mmm (No. 123)
Inequivalent atoms, fractional coordinates:
Rb  0.0000  0.5000  0.0000 [2 per cell]
Nb  0.0000  0.0000  0.5000 [1 per cell]
Te  0.5000  0.5000  0.0000 [1 per cell]
Cl  0.5000  0.5000  0.5000 [1 per cell]

Summary:
ΔE_f (raw) ... 0.625 eV/atom
Calculated total energy ... -13.9 eV/f.u.

***

# 4
Material: RbNbTlCl6
Method: DFT, GGA-PBE
State: relaxed

abc: 7.6400 7.6400 12.7275
angles: 90.00 90.00 120.00
Space group P-31c (No. 163)
Inequivalent atoms, fractional coordinates:
Rb  0.0000  0.0000  0.0000 [2 per cell]
Nb  0.3333  0.6667  0.2500 [2 per cell]
Tl  0.3333  0.6667  0.7500 [2 per cell]
Cl  0.0714  0.4061  0.1392 [12 per cell]

Summary:
ΔE_f (raw) ... -1.374 eV/atom
Calculated total energy ... -36.9 eV/f.u.

***

# 5
Material: RbNbTl2Cl8
Method: DFT, GGA-PBE
State: relaxed

abc: 6.2158 9.4178 8.0092
angles: 90.00 111.89 90.00
Space group P2/m (No. 10)
Inequivalent atoms, fractional coordinates:
Rb  0.0000  0.0000  0.0000 [1 per cell]
Nb  0.0000  0.5000  0.0000 [1 per cell]
Tl  0.5000  0.2329  0.5000 [2 per cell]
Cl  0.0531  0.3198  0.8065 [4 per cell]
Cl  0.4019  0.5000  0.1756 [2 per cell]
Cl  0.4563  0.0000  0.7247 [2 per cell]

Summary:
ΔE_f (raw) ... -1.279 eV/atom
Calculated total energy ... -45.9 eV/f.u.

***

# 6
Material: Rb2NbVCl
Method: DFT, GGA-PBE
State: relaxed

abc: 7.1639 7.1639 4.4957
angles: 90.00 90.00 90.00
Space group P4/mmm (No. 123)
Inequivalent atoms, fractional coordinates:
Rb  0.0000  0.5000  0.0000 [2 per cell]
Nb  0.0000  0.0000  0.5000 [1 per cell]
V  0.5000  0.5000  0.0000 [1 per cell]
Cl  0.5000  0.5000  0.5000 [1 per cell]

Summary:
ΔE_f (raw) ... 1.086 eV/atom
Calculated total energy ... -17.5 eV/f.u.

***

Question: Number 3 is which compound?
Answer: Rb2NbTeCl